Record 1
## Co6BP2 (GGA-PBE)

Data for crystalline Co6BP2 at its relaxed geometry.

For the electronic total energy, the calculation gives -0.2591 hartree per atom. As for the space-group type: P-62m (189).

a = 5.6558 Å, b = 5.6558 Å, c = 3.2883 Å
α = 90.00°, β = 90.00°, γ = 120.00°
Element x y z (fractional)
1 Co 0.0000 0.2495 0.0000
2 Co 0.0000 0.6067 0.5000
3 Co 0.2495 0.0000 0.0000
4 Co 0.3933 0.3933 0.5000
5 Co 0.6067 0.0000 0.5000
6 Co 0.7505 0.7505 0.0000
7 B 0.0000 0.0000 0.5000
8 P 0.3333 0.6667 0.0000
9 P 0.6667 0.3333 0.0000

***

Record 2
## Co2BP (GGA-PBE)

Data for crystalline Co2BP at its relaxed geometry.

As for the space-group type: Pmc2_1 (26). For the relative energy among the computed polymorphs, the calculation gives 0.004 eV/atom.

a = 2.7808 Å, b = 5.7150 Å, c = 4.9080 Å
α = 90.00°, β = 90.00°, γ = 90.00°
Element x y z (fractional)
1 Co 0.0000 0.0409 0.0000
2 Co 0.0000 0.9591 0.5000
3 Co 0.5000 0.4351 0.9890
4 Co 0.5000 0.5649 0.4890
5 B 0.5000 0.1807 0.6939
6 B 0.5000 0.8193 0.1939
7 P 0.0000 0.3063 0.3298
8 P 0.0000 0.6937 0.8298

***

Number 1 is which compound?
Co6BP2